No. 1
VASP calculation (PBE-GGA) on Tb4NpO10 after structural relaxation.

a = 6.5954 Å, b = 6.5954 Å, c = 6.5954 Å
α = 99.41°, β = 99.41°, γ = 132.30°
Closest atoms and distances in Å follow each position.
Sites, in units of the cell vectors:
Tb  0.0988  0.3009  0.3997  8 O 2.32-2.40
Tb  0.3009  0.9012  0.2022  8 O 2.32-2.40
Tb  0.6991  0.0988  0.7978  8 O 2.32-2.40
Tb  0.9012  0.6991  0.6003  8 O 2.32-2.40
Np  0.5000  0.5000  0.0000  8 O 2.18
O  0.0790  0.1682  0.7174  1 Np 2.18, 3 Tb 2.36-2.40
O  0.1682  0.4508  0.0892  1 Np 2.18, 3 Tb 2.36-2.40
O  0.2500  0.7500  0.5000  4 Tb 2.32
O  0.3616  0.0790  0.9108  1 Np 2.18, 3 Tb 2.36-2.40
O  0.4508  0.3616  0.2826  1 Np 2.18, 3 Tb 2.36-2.40
O  0.5492  0.6384  0.7174  1 Np 2.18, 3 Tb 2.36-2.40
O  0.6384  0.9210  0.0892  1 Np 2.18, 3 Tb 2.36-2.40
O  0.7500  0.2500  0.5000  4 Tb 2.32
O  0.8318  0.5492  0.9108  1 Np 2.18, 3 Tb 2.36-2.40
O  0.9210  0.8318  0.2826  1 Np 2.18, 3 Tb 2.36-2.40

Output
E_form (uncorrected) = -301.10 kJ/mol of atoms
SG = I4/m
DOS at the Fermi energy = 8.88 states/eV/cell
Size of the total moment = 0.0388 μB/atom


No. 2
VASP calculation (PBE-GGA) on LiOs2Au after structural relaxation.

a = 2.6168 Å, b = 2.6168 Å, c = 8.8993 Å
α = 90.00°, β = 90.00°, γ = 90.00°
Closest atoms and distances in Å follow each position.
Sites, in units of the cell vectors:
Li  0.0000  0.0000  0.0000  4 Li 2.62, 8 Os 2.84
Os  0.5000  0.5000  0.2415  4 Os 2.62, 4 Li 2.84
Os  0.5000  0.5000  0.7585  4 Os 2.62, 4 Li 2.84
Au  0.0000  0.0000  0.5000  4 Au 2.62

Output
SG = P4/mmm
DOS at the Fermi energy = 4.48 states/eV/cell
Relative energy among the computed polymorphs = 2.250 eV per formula unit
Size of the total moment = 0.0000 μB/atom


No. 3
VASP calculation (PBE-GGA) on CrFeMo2 after structural relaxation.

a = 4.9772 Å, b = 4.9772 Å, c = 2.6173 Å
α = 99.73°, β = 99.73°, γ = 115.54°
Closest atoms and distances in Å follow each position.
Sites, in units of the cell vectors:
Cr  0.0000  0.0000  0.0000  4 Mo 2.61, 2 Cr 2.62, 2 Fe 2.65
Fe  0.5000  0.5000  0.0000  4 Mo 2.61, 2 Fe 2.62, 2 Cr 2.65
Mo  0.0000  0.5000  0.5000  2 Cr 2.61, 2 Fe 2.61, 4 Mo 2.62-2.65
Mo  0.5000  0.0000  0.5000  2 Cr 2.61, 2 Fe 2.61, 4 Mo 2.62-2.65

Output
SG = C2/m
DOS at the Fermi energy = 3.86 states/eV/cell
Relative energy among the computed polymorphs = 0.165 eV per formula unit
Size of the total moment = 0.6207 μB/atom


No. 4
VASP calculation (PBE-GGA) on BaPmBr2 after structural relaxation.

a = 10.9862 Å, b = 10.9862 Å, c = 10.9862 Å
α = 20.80°, β = 20.80°, γ = 20.80°
Closest atoms and distances in Å follow each position.
Sites, in units of the cell vectors:
Ba  0.0000  0.0000  0.0000  2 Br 3.33
Pm  0.5000  0.5000  0.5000  6 Br 3.07
Br  0.1032  0.1032  0.1032  3 Pm 3.07, 1 Ba 3.33
Br  0.8968  0.8968  0.8968  3 Pm 3.07, 1 Ba 3.33

Output
E_form (uncorrected) = -113.76 kJ/mol of atoms
SG = R-3m
DOS at the Fermi energy = 3.84 states/eV/cell
Size of the total moment = 0.0000 μB/atom


No. 5
VASP calculation (PBE-GGA) on Ac2PmThAs4 after structural relaxation.

a = 7.5775 Å, b = 4.3837 Å, c = 7.6394 Å
α = 90.00°, β = 109.31°, γ = 90.00°
Closest atoms and distances in Å follow each position.
Sites, in units of the cell vectors:
Ac  0.0000  0.0000  0.0000  6 As 3.19
Ac  0.5000  0.5000  0.0000  6 As 3.17-3.18
Pm  0.0000  0.5000  0.5000  6 As 3.04
Th  0.5000  0.0000  0.5000  6 As 3.02-3.03
As  0.2463  0.0000  0.7324  1 Th 3.02, 2 Pm 3.04, 3 Ac 3.17-3.19
As  0.2577  0.5000  0.2688  2 Th 3.03, 1 Pm 3.04, 3 Ac 3.18-3.19
As  0.7423  0.5000  0.7312  2 Th 3.03, 1 Pm 3.04, 3 Ac 3.18-3.19
As  0.7537  0.0000  0.2676  1 Th 3.02, 2 Pm 3.04, 3 Ac 3.17-3.19

Output
SG = P2/m
DOS at the Fermi energy = 1.77 states/eV/cell
E_tot = -6.3541 eV/atom
Size of the total moment = 0.0000 μB/atom


No. 6
VASP calculation (PBE-GGA) on SnRh2F after structural relaxation.

a = 4.3991 Å, b = 4.3991 Å, c = 4.3991 Å
α = 60.00°, β = 60.00°, γ = 60.00°
Closest atoms and distances in Å follow each position.
Sites, in units of the cell vectors:
Sn  0.0000  0.0000  0.0000  8 Rh 2.69
Rh  0.2500  0.2500  0.2500  4 F 2.69, 4 Sn 2.69
Rh  0.7500  0.7500  0.7500  4 F 2.69, 4 Sn 2.69
F  0.5000  0.5000  0.5000  8 Rh 2.69

Output
E_form (uncorrected) = -34.78 kJ/mol of atoms
SG = Fm-3m
DOS at the Fermi energy = 3.04 states/eV/cell
Relative energy among the computed polymorphs = 0.000 eV per formula unit
Size of the total moment = 0.0000 μB/atom


No. 7
VASP calculation (PBE-GGA) on BaHfO2 after structural relaxation.

a = 7.2267 Å, b = 7.2267 Å, c = 7.2267 Å
α = 27.80°, β = 27.80°, γ = 27.80°
Closest atoms and distances in Å follow each position.
Sites, in units of the cell vectors:
Ba  0.0000  0.0000  0.0000  2 O 2.63
Hf  0.5000  0.5000  0.5000  6 O 2.17
O  0.1264  0.1264  0.1264  3 Hf 2.17
O  0.8736  0.8736  0.8736  3 Hf 2.17

Output
E_form (uncorrected) = -222.40 kJ/mol of atoms
SG = R-3m
DOS at the Fermi energy = 2.45 states/eV/cell
Relative energy among the computed polymorphs = 0.028 eV per formula unit
Size of the total moment = 0.0000 μB/atom


No. 8
VASP calculation (PBE-GGA) on Ba2LiEuCu4O8 after structural relaxation.

a = 3.9378 Å, b = 3.8492 Å, c = 14.7002 Å
α = 90.00°, β = 97.06°, γ = 90.00°
Closest atoms and distances in Å follow each position.
Sites, in units of the cell vectors:
Ba  0.1187  0.0000  0.2549  8 O 2.80-2.94
Ba  0.8813  0.0000  0.7451  8 O 2.80-2.94
Li  0.0000  0.0000  0.5000  4 O 2.27, 4 Cu 2.50
Eu  0.0000  0.0000  0.0000  8 O 2.49-2.50
Cu  0.3126  0.5000  0.5807  4 O 1.84-2.04
Cu  0.4457  0.5000  0.8836  4 O 1.93-1.97
Cu  0.5543  0.5000  0.1164  4 O 1.93-1.97
Cu  0.6874  0.5000  0.4193  4 O 1.84-2.04
O  0.0502  0.5000  0.1078  2 Cu 1.97
O  0.2091  0.5000  0.4469  3 Cu 1.96-2.04
O  0.3685  0.5000  0.7070  1 Cu 1.84
O  0.4511  0.0000  0.8946  2 Cu 1.93
O  0.5489  0.0000  0.1054  2 Cu 1.93
O  0.6315  0.5000  0.2930  1 Cu 1.84
O  0.7909  0.5000  0.5531  3 Cu 1.96-2.04
O  0.9498  0.5000  0.8922  2 Cu 1.97

Output
E_form (uncorrected) = -148.10 kJ/mol of atoms
SG = P2/m
DOS at the Fermi energy = 9.86 states/eV/cell
Relative energy among the computed polymorphs = 0.363 eV per formula unit
Size of the total moment = 0.3833 μB/atom


No. 9
VASP calculation (PBE-GGA) on LiAgPt after structural relaxation.

a = 4.8540 Å, b = 4.8540 Å, c = 4.8540 Å
α = 146.84°, β = 130.37°, γ = 60.99°
Closest atoms and distances in Å follow each position.
Sites, in units of the cell vectors:
Li  0.0000  0.0000  0.0000  5 Ag 2.72-2.86, 2 Li 2.77, 5 Pt 2.79-2.87
Ag  0.6742  0.6742  0.0000  5 Li 2.72-2.86, 2 Ag 2.77, 5 Pt 2.77-2.84
Pt  0.3430  0.3430  0.0000  2 Pt 2.77, 5 Ag 2.77-2.84, 5 Li 2.79-2.87

Output
SG = Imm2
DOS at the Fermi energy = 0.92 states/eV/cell
Relative energy among the computed polymorphs = 0.054 eV per formula unit
Size of the total moment = 0.0000 μB/atom


No. 10
VASP calculation (PBE-GGA) on TaRhAu4 after structural relaxation.

a = 5.3469 Å, b = 5.3469 Å, c = 5.3469 Å
α = 60.00°, β = 60.00°, γ = 60.00°
Closest atoms and distances in Å follow each position.
Sites, in units of the cell vectors:
Ta  0.0000  0.0000  0.0000  12 Au 3.13, 4 Rh 3.27
Rh  0.7500  0.7500  0.7500  12 Au 3.13, 4 Ta 3.27
Au  0.3750  0.3750  0.3750  6 Au 2.67
Au  0.3750  0.3750  0.8749  6 Au 2.67
Au  0.3750  0.8749  0.3750  6 Au 2.67
Au  0.8749  0.3750  0.3750  6 Au 2.67

Output
SG = F-43m
DOS at the Fermi energy = 3.97 states/eV/cell
E_tot = -5.0379 eV/atom
Size of the total moment = 0.0000 μB/atom


No. 11
VASP calculation (PBE-GGA) on HfMn3 after structural relaxation.

a = 6.7915 Å, b = 6.7915 Å, c = 6.7915 Å
α = 143.39°, β = 143.39°, γ = 52.74°
Closest atoms and distances in Å follow each position.
Sites, in units of the cell vectors:
Hf  0.1272  0.1272  0.0000  8 Mn 2.60-2.64
Hf  0.8728  0.8728  0.0000  8 Mn 2.60-2.64
Mn  0.0000  0.5000  0.5000  4 Mn 2.59, 4 Hf 2.64
Mn  0.2500  0.7500  0.5000  4 Hf 2.60, 4 Mn 2.65
Mn  0.3789  0.3789  0.0000  8 Mn 2.59-2.65
Mn  0.5000  0.0000  0.5000  4 Mn 2.59, 4 Hf 2.64
Mn  0.6211  0.6211  0.0000  8 Mn 2.59-2.65
Mn  0.7500  0.2500  0.5000  4 Hf 2.60, 4 Mn 2.65

Output
SG = I4/mmm
DOS at the Fermi energy = 10.21 states/eV/cell
E_tot = -9.2961 eV/atom
Size of the total moment = 0.2910 μB/atom


No. 12
VASP calculation (PBE-GGA) on TlIn2HCl4 after structural relaxation.

a = 9.0456 Å, b = 9.0456 Å, c = 9.0456 Å
α = 120.85°, β = 118.70°, γ = 90.40°
Closest atoms and distances in Å follow each position.
Sites, in units of the cell vectors:
Tl  0.0000  0.0000  0.0000  6 Cl 3.24-3.25
Tl  0.5000  0.0000  0.5000  6 Cl 3.24-3.25
In  0.0000  0.5000  0.5000  6 Cl 3.22-3.23
In  0.5000  0.0000  0.0000  6 Cl 2.81-2.82
In  0.5000  0.5000  0.0000  6 Cl 3.22-3.23
In  0.5000  0.5000  0.5000  6 Cl 2.81-2.82
H  0.0000  0.0000  0.5000  6 Cl 3.55-3.66
H  0.0000  0.5000  0.0000  6 Cl 3.55-3.66
Cl  0.2788  0.2810  0.5022  1 In 2.82
Cl  0.2788  0.7766  0.9978  1 In 2.82
Cl  0.3138  0.7494  0.5644  2 In 2.81
Cl  0.3150  0.2506  0.0644  2 In 2.81
Cl  0.6850  0.7494  0.9356  2 In 2.81
Cl  0.6862  0.2506  0.4356  2 In 2.81
Cl  0.7212  0.2234  0.0022  1 In 2.82
Cl  0.7212  0.7190  0.4978  1 In 2.82

Output
SG = Imma
DOS at the Fermi energy = 3.62 states/eV/cell
E_tot = -2.8097 eV/atom
Size of the total moment = 0.1218 μB/atom